Crystalline MnSbO3 at its relaxed geometry. Source: Alexandria via LeMat-Bulk, functional GGA+U.

POSCAR file:
```
MnSbO3
1.0
-4.7178 1.7484 -2.9749
-0.2051 -5.0773 -2.6588
-2.8242 0.7705 4.9316
Mn Sb O
2 2 6
Cartesian
0.0000 0.0000 0.0000 Mn
-2.3589 0.8742 -1.4874 Mn
-3.4370 -2.2538 -1.6161 Sb
-1.0781 -3.1280 -0.1287 Sb
-4.1305 -0.2687 -2.2207 O
-5.5778 -2.4738 -1.2214 O
-4.1411 -2.7077 -3.6374 O
-3.2126 -3.1916 0.3479 O
-1.6846 -1.1666 -0.8851 O
-1.8755 -3.7145 -2.0799 O
```

Calculated values
The density of states at the Fermi level is 4.445 states/eV/cell. The total magnetization comes out at 8.9 μB/cell. The calculation puts the calculated total energy at -6.45 eV per atom.